LiVSb2 (PBE, optimized geometry); SG = Fm-3m; formation energy from raw total energies = -68 meV per atom; relative energy among the computed polymorphs = 0.1074 eV/atom; calculated total energy = -4.89 eV/atom
1.0
3.8723 -2.1600 2.0015
0.1300 -0.8005 4.7967
-0.3634 -4.5361 1.7198
Li Sb V
1 2 1
Cartesian
0.0000 0.0000 0.0000
2.7292 -5.6224 6.3885
0.9097 -1.8741 2.1295
1.8195 -3.7483 4.2590